DFT (PBE with a Hubbard U) results for a relaxed structure of Ba2GeMoF.

Cell: 6.559 6.559 4.456 Å, 90.00 90.00 90.00°
Positions (direct):
Ba1 0.000 0.500 0.000
Ba2 0.500 0.000 0.000
Ge1 0.000 0.000 0.000
Mo1 0.500 0.500 0.500
F1 0.000 0.000 0.500

Computed properties:
As for the total magnetization: 5.192 Bohr magnetons per cell. Its total energy is -3.552 eV/atom.